VASP calculation (PBE) on a relaxed structure of LiGd2Er.

Calculated values
E above lowest polymorph: 0 meV/atom
DOS(E_F): 1.56 states/eV/atom
Symmetry: No. 123
E_form: 71 meV/atom

Lattice parameters (Å, degrees): 3.6277 3.6277 8.7707 90.00 90.00 90.00
Sites, in units of the cell vectors:
1 Li 0.0000 0.0000 0.0000
2 Gd 0.5000 0.5000 0.2264
3 Gd 0.5000 0.5000 0.7736
4 Er 0.0000 0.0000 0.5000